# KYPb

Crystalline KYPb at its relaxed geometry (PBE, Alexandria).

Properties
For the energy of formation from the pure elements, the calculation gives -0.10 eV/atom. Its size of the total moment is 0.000 μB per formula unit. The energy relative to the lowest polymorph listed for this composition comes out at 186 meV/atom.

```
KYPb
1.0
7.148 -0.105 0.087
1.378 6.005 0.464
-1.365 0.064 6.026
K Y Pb
2 2 2
Direct
0.096 0.910 0.806 K
0.096 0.410 0.307 K
0.606 0.035 0.181 Y
0.606 0.535 0.681 Y
0.567 0.045 0.671 Pb
0.566 0.545 0.171 Pb
```